First-principles (PBE) data for a geometry-optimized Tb6ErTl5 structure, as listed in Alexandria via LeMat-Bulk.

The space group is C2/m (No. 12) and the conventional cell measures 10.3606, 11.2429 and 6.2765 Å, with angles of 90.00, 102.80 and 90.00 degrees. The distinct sites, in fractional coordinates, are Tb at (0.2247, 0.0000, 0.2257), Tb at (0.2285, 0.1769, 0.7373), Er at (0.0000, 0.5000, 0.0000), Tl at (0.0000, 0.0000, 0.5000), Tl at (0.0000, 0.1993, 0.0000) and Tl at (0.0000, 0.3593, 0.5000).

First-principles (PBE) data for a geometry-optimized Th2ZrBi structure, as listed in Alexandria via LeMat-Bulk.

The space group is P4/mmm (No. 123) and the conventional cell measures 4.7824, 4.7824 and 4.9216 Å, with angles of 90.00, 90.00 and 90.00 degrees. The distinct sites, in fractional coordinates, are Th at (0.0000, 0.5000, 0.0000), Zr at (0.0000, 0.0000, 0.5000) and Bi at (0.5000, 0.5000, 0.5000).

For each record above, in turn, the calculated V values are 29.705 28.141 Å³/atom.
For each record above, in turn, the calculated DFT formation energy values are -185 -193 meV/atom.